Entry 1:
First-principles (PBE-GGA) data for crystalline Tl5Hg2Te2 at its relaxed geometry, as listed in Alexandria.

Results
uncorrected energy	-2.23	eV per atom
SG	No. 1
magnetic moment	0.00	μB/cell

Lattice parameters (Å, degrees): 6.855 9.939 10.775 117.17 106.69 90.15
Atoms (fractional coordinates):
Tl 0.000 0.000 0.000
Tl 0.004 0.836 0.574
Tl 0.293 0.652 0.046
Tl 0.447 0.689 0.757
Tl 0.456 0.284 0.410
Tl 0.500 0.252 0.001
Tl 0.504 0.990 0.575
Tl 0.792 0.644 0.046
Tl 0.944 0.319 0.758
Tl 0.959 0.379 0.415
Hg 0.037 0.363 0.097
Hg 0.301 0.620 0.414
Hg 0.538 0.982 0.095
Hg 0.802 0.046 0.414
Te 0.157 0.958 0.289
Te 0.429 0.345 0.732
Te 0.657 0.580 0.290
Te 0.932 0.639 0.734

Entry 2:
First-principles (PBE-GGA) data for crystalline TlHgTe2 at its relaxed geometry, as listed in Alexandria.

Results
uncorrected energy	-2.27	eV per atom
SG	No. 8
magnetic moment	0.00	μB/cell

Lattice parameters (Å, degrees): 6.292 6.292 6.566 100.17 100.17 32.14
Atoms (fractional coordinates):
Tl 0.000 0.000 0.000
Hg 0.747 0.747 0.131
Te 0.323 0.323 0.627
Te 0.529 0.529 0.501